Ba2Li4Ga: optimized geometry, PBE.

It has space group I4/mmm (No. 139), with a = 5.159 Å, b = 5.159 Å, c = 17.511 Å, α = 90.00°, β = 90.00° and γ = 90.00°. The inequivalent atoms are Ba at (0.000, 0.000, 0.142), Li at (0.000, 0.000, 0.355), Li at (0.000, 0.500, 0.000) and Ga at (0.000, 0.000, 0.500).

The calculation puts the density of states at the Fermi level at 0.40 states/eV/atom. As for the formation energy: -0.11 eV per formula unit.

Pr2Nd3Tm5: optimized geometry, PBE.

It has space group C2/c (No. 15), with a = 10.621 Å, b = 16.220 Å, c = 9.372 Å, α = 90.00°, β = 124.44° and γ = 90.00°. The inequivalent atoms are Pr at (0.145, 0.122, 0.047), Nd at (0.000, 0.270, 0.750), Nd at (0.153, 0.378, 0.548), Tm at (0.000, 0.025, 0.250), Tm at (0.000, 0.230, 0.250), Tm at (0.000, 0.474, 0.750) and Tm at (0.242, 0.386, 0.239).

The calculation puts the density of states at the Fermi level at 1.49 states/eV/atom. As for the formation energy: 1.78 eV per formula unit.

Li6Cd10Cu: optimized geometry, PBE.

It has space group P-31m (No. 162), with a = 8.1260 Å, b = 8.1260 Å, c = 5.6917 Å, α = 90.00°, β = 90.00° and γ = 120.00°. The inequivalent atoms are Li at (0.0000, 0.3812, 0.2817), Cd at (0.0000, 0.2622, 0.7901), Cd at (0.3333, 0.6667, 0.0000), Cd at (0.3333, 0.6667, 0.5000) and Cu at (0.0000, 0.0000, 0.5000).

The calculation puts the density of states at the Fermi level at 0.29 states/eV/atom. As for the formation energy: -2.59 eV per formula unit.

In2Ag5Hg: optimized geometry, PBE.

It has space group Cm (No. 8), with a = 7.394 Å, b = 9.194 Å, c = 5.887 Å, α = 90.00°, β = 127.50° and γ = 90.00°. The inequivalent atoms are In at (0.000, 0.230, 0.000), Ag at (0.193, 0.500, 0.967), Ag at (0.310, 0.500, 0.549), Ag at (0.318, 0.000, 0.057), Ag at (0.499, 0.225, 0.502) and Hg at (0.191, 0.000, 0.479).

The calculation puts the density of states at the Fermi level at 0.20 states/eV/atom. The value obtained for the relative energy among the computed polymorphs is 0.000 eV/atom. As for the formation energy: 0.15 eV per formula unit.

> Which formula does entry 4 have?

In2Ag5Hg